This record from Alexandria describes ScB2Ir3 at its PBEsol-relaxed geometry. The functional is SCAN.

crystal system: hexagonal
calculated formation energy: -0.7554 eV/atom

POSCAR file:
```
ScB2Ir3
1.0
5.385 0.000 0.000
-2.692 4.664 0.000
0.000 0.000 3.053
Sc B Ir
1 2 3
Cartesian
0.000 0.000 0.000 Sc
0.000 3.109 0.000 B
2.692 1.555 0.000 B
-1.346 2.332 1.526 Ir
2.692 0.000 1.526 Ir
1.346 2.332 1.526 Ir
```